No. 1
# EuHgPtPb

A relaxed structure of EuHgPtPb (PBE-GGA, Alexandria).

Unit cell a=7.3077 b=7.3077 c=7.3077 alpha=90.00 beta=90.00 gamma=90.00
With the nearest neighbours (Å) after each atom.
Space group F-43m (No. 216)
Unique sites:
1 Eu 0.0000 0.0000 0.0000 [4 per cell]  4 Hg 3.16, 4 Pt 3.16
2 Hg 0.2500 0.2500 0.7500 [4 per cell]  4 Pb 3.16, 4 Eu 3.16
3 Pt 0.2500 0.2500 0.2500 [4 per cell]  4 Pb 3.16, 4 Eu 3.16
4 Pb 0.0000 0.0000 0.5000 [4 per cell]  4 Hg 3.16, 4 Pt 3.16

The value obtained for the magnetic moment is 28.249 μB/cell. The value obtained for the formation energy is -171 kJ/mol of formula units. The density of states at the Fermi level is 12.0 states/eV/f.u.

No. 2
# KY2Tc

A relaxed structure of KY2Tc (PBE-GGA, Alexandria).

Unit cell a=4.5646 b=4.5646 c=10.1697 alpha=90.00 beta=90.00 gamma=90.00
With the nearest neighbours (Å) after each atom.
Space group I-4m2 (No. 119)
Unique sites:
1 K 0.0000 0.0000 0.0000 [2 per cell]  8 Y 3.23-3.42, 4 Tc 3.42
2 Y 0.0000 0.0000 0.5000 [2 per cell]  4 K 3.23, 4 Tc 3.42, 4 Y 3.42
3 Y 0.0000 0.5000 0.2500 [2 per cell]  4 Tc 3.23, 4 K 3.42, 4 Y 3.42
4 Tc 0.0000 0.5000 0.7500 [2 per cell]  8 Y 3.23-3.42, 4 K 3.42

The value obtained for the magnetic moment is 0.377 μB/cell. The value obtained for the formation energy is 338 kJ/mol of formula units. Its polymorph energy (0 for the lowest one) is 0.7533 eV per atom. The density of states at the Fermi level is 3.4 states/eV/f.u.

No. 3
# AcThCdGe

A relaxed structure of AcThCdGe (PBE-GGA, Alexandria).

Unit cell a=7.7305 b=7.7305 c=7.7305 alpha=90.00 beta=90.00 gamma=90.00
With the nearest neighbours (Å) after each atom.
Space group F-43m (No. 216)
Unique sites:
1 Ac 0.0000 0.0000 0.0000 [4 per cell]  4 Ge 3.35, 4 Cd 3.35
2 Th 0.0000 0.0000 0.5000 [4 per cell]  4 Cd 3.35, 4 Ge 3.35
3 Cd 0.2500 0.2500 0.7500 [4 per cell]  4 Ac 3.35, 4 Th 3.35
4 Ge 0.2500 0.2500 0.2500 [4 per cell]  4 Ac 3.35, 4 Th 3.35

The value obtained for the magnetic moment is 0.000 μB/cell. The value obtained for the formation energy is -105 kJ/mol of formula units. The density of states at the Fermi level is 3.1 states/eV/f.u.

Q: What is the formula in the second record?
A: KY2Tc